No. 1
This record from Alexandria describes LiNbBr2 at its PBEsol-relaxed geometry. The functional is SCAN.

Values from the calculation:
The total magnetization is 0.450 μB/atom. For the density of states at the Fermi level, the calculation gives 0.389 states/eV/atom. The value obtained for the formation energy (no corrections) is -0.506 eV/atom. As for the total energy: -19.12 eV/atom. The space-group type is R-3m, No. 166.

Cell and atoms, written as POSCAR:
```
LiNbBr2
1.0
-0.507 -3.198 0.800
0.525 -2.390 -2.267
7.960 -2.496 2.022
Br Li Nb
2 1 1
Cartesian
2.429 -5.781 -0.705 Br
5.549 -2.304 1.261 Br
3.989 -4.042 0.278 Li
0.000 0.000 0.000 Nb
```



No. 2
This record from Alexandria describes LiNbBrO2 at its PBEsol-relaxed geometry. The functional is SCAN.

Values from the calculation:
The total magnetization is 0.670 μB/atom. For the density of states at the Fermi level, the calculation gives 0.517 states/eV/atom. The value obtained for the formation energy (no corrections) is 0.657 eV/atom. As for the total energy: -12.83 eV/atom. The space-group type is P4/mmm, No. 123.

Cell and atoms, written as POSCAR:
```
LiNbBrO2
1.0
-1.526 1.310 -3.604
-0.448 -4.085 -1.295
-3.979 -0.088 1.652
Nb O Li Br
1 2 1 1
Cartesian
-2.976 -1.431 -1.624 Nb
-1.989 -0.044 0.826 O
-0.224 -2.043 -0.648 O
-0.763 0.655 -1.802 Li
0.000 0.000 0.000 Br
```